1.
Below is crystalline TlV2I at its relaxed geometry, with properties calculated at the PBE level.

It has space group I-42d (No. 122), with a = 7.605 Å, b = 7.605 Å, c = 6.749 Å, α = 90.00°, β = 90.00° and γ = 90.00°. The inequivalent atoms are Tl at (0.000, 0.000, 0.000), V at (0.233, 0.750, 0.625) and I at (0.000, 0.000, 0.500).

As for the crystal system: tetragonal. The uncorrected formation energy comes out at 0.9272 eV per atom. The relative energy among the computed polymorphs is 23.6 kJ/mol of formula units. As for the total energy: -73.78 eV/cell.



2.
Below is crystalline LuSnPtAu at its relaxed geometry, with properties calculated at the PBE level.

It has space group F-43m (No. 216), with a = 6.863 Å, b = 6.863 Å, c = 6.863 Å, α = 90.00°, β = 90.00° and γ = 90.00°. The inequivalent atoms are Lu at (0.000, 0.000, 0.000), Sn at (0.000, 0.000, 0.500), Pt at (0.250, 0.250, 0.750) and Au at (0.250, 0.250, 0.250).

As for the crystal system: cubic. The value obtained for the formation energy is -785 meV/atom. As for the total energy: -83.93 eV/cell.



3.
Below is crystalline K2Ca2TcO6 at its relaxed geometry, with properties calculated at the PBE level.

It has space group C2/m (No. 12), with a = 5.847 Å, b = 9.834 Å, c = 6.536 Å, α = 90.00°, β = 106.95° and γ = 90.00°. The inequivalent atoms are K at (0.000, 0.168, 0.000), Ca at (0.000, 0.337, 0.500), Tc at (0.000, 0.000, 0.500), O at (0.197, 0.144, 0.674) and O at (0.221, 0.000, 0.323).

As for the crystal system: monoclinic. The uncorrected formation energy comes out at -2.0384 eV per atom. As for the total energy: -137.47 eV/cell.



4.
Below is crystalline InFeSb2 at its relaxed geometry, with properties calculated at the PBE level.

It has space group I-4m2 (No. 119), with a = 4.263 Å, b = 4.263 Å, c = 10.293 Å, α = 90.00°, β = 90.00° and γ = 90.00°. The inequivalent atoms are In at (0.000, 0.000, 0.000), Fe at (0.000, 0.500, 0.250), Sb at (0.000, 0.000, 0.500) and Sb at (0.000, 0.500, 0.750).

As for the crystal system: tetragonal. The uncorrected formation energy comes out at 0.4986 eV per atom. As for the total energy: -34.90 eV/cell.



no.,total magnetic moment (Bohr magnetons per cell)
1,24.91
2,0.00
3,2.01
4,5.85